Crystalline OsBrCl2 at its relaxed geometry. Source: the Alexandria database, functional PBE. Values from VASP.

Cell and atoms, written as Quantum ESPRESSO input:
```
&SYSTEM
  ibrav = 0, nat = 4, ntyp = 3
/
ATOMIC_SPECIES
Os 190.23 Os.upf
Cl 35.45 Cl.upf
Br 79.90 Br.upf
ATOMIC_POSITIONS angstrom
Os 2.803 -2.055 2.271
Cl 0.000 0.000 0.000
Cl -2.960 0.046 1.355
Br -1.495 -2.052 0.715
CELL_PARAMETERS angstrom
-7.257 0.048 -0.200
4.267 -4.153 1.630
1.338 0.043 2.911
```

theoretical density: 6.5 g/cm³
space-group type: No. 65
density of states at the Fermi level: 2.9 states/eV/f.u.
raw formation energy: 4.75 eV/f.u.
total magnetization: 2.25 Bohr magnetons per cell
calculated volume: 86.6 Å³/cell